--- i ---
! Ni2SbO, optimized geometry, DFT PBE with a Hubbard U; values from VASP
&SYSTEM
  ibrav = 0, nat = 4, ntyp = 3
/
ATOMIC_SPECIES
Ni 58.69 Ni.upf
Sb 121.76 Sb.upf
O 16.00 O.upf
CELL_PARAMETERS angstrom
0.000 2.922 2.922
2.922 0.000 2.922
2.922 2.922 0.000
ATOMIC_POSITIONS crystal
Ni 0.250 0.250 0.250
Ni 0.750 0.750 0.750
Sb 0.000 0.000 0.000
O 0.500 0.500 0.500
! Symmetry: Fm-3m
! Crystal system: cubic

--- ii ---
! Ni2SbO, optimized geometry, DFT PBE with a Hubbard U; values from VASP
&SYSTEM
  ibrav = 0, nat = 8, ntyp = 3
/
ATOMIC_SPECIES
Ni 58.69 Ni.upf
Sb 121.76 Sb.upf
O 16.00 O.upf
CELL_PARAMETERS angstrom
-2.713 2.713 4.542
2.713 -2.713 4.542
2.713 2.713 -4.542
ATOMIC_POSITIONS crystal
Ni 0.023 0.625 0.898
Ni 0.375 0.273 0.398
Ni 0.727 0.125 0.102
Ni 0.875 0.977 0.602
Sb 0.250 0.750 0.500
Sb 0.500 0.500 0.000
O 0.000 0.000 0.000
O 0.750 0.250 0.500
! Symmetry: I-42d
! Crystal system: tetragonal

Short version: i is the least stable of them.

--- i ---
! Ni2Sb2O7, optimized geometry, DFT PBE with a Hubbard U; values from VASP
&SYSTEM
  ibrav = 0, nat = 22, ntyp = 3
/
ATOMIC_SPECIES
Ni 58.69 Ni.upf
Sb 121.76 Sb.upf
O 16.00 O.upf
CELL_PARAMETERS angstrom
0.000 5.072 5.072
5.072 0.000 5.072
5.072 5.072 0.000
ATOMIC_POSITIONS crystal
Ni 0.000 0.000 0.000
Ni 0.000 0.000 0.500
Ni 0.000 0.500 0.000
Ni 0.500 0.000 0.000
Sb 0.000 0.500 0.500
Sb 0.500 0.000 0.500
Sb 0.500 0.500 0.000
Sb 0.500 0.500 0.500
O 0.125 0.125 0.125
O 0.169 0.169 0.581
O 0.169 0.581 0.169
O 0.169 0.581 0.581
O 0.419 0.419 0.831
O 0.419 0.831 0.419
O 0.419 0.831 0.831
O 0.581 0.169 0.169
O 0.581 0.169 0.581
O 0.581 0.581 0.169
O 0.831 0.419 0.419
O 0.831 0.419 0.831
O 0.831 0.831 0.419
O 0.875 0.875 0.875
! Symmetry: Fd-3m
! Crystal system: cubic

--- ii ---
! Ni2Sb2O7, optimized geometry, DFT PBE with a Hubbard U; values from VASP
&SYSTEM
  ibrav = 0, nat = 11, ntyp = 3
/
ATOMIC_SPECIES
Ni 58.69 Ni.upf
Sb 121.76 Sb.upf
O 16.00 O.upf
CELL_PARAMETERS angstrom
3.802 -3.310 0.000
3.802 3.310 0.000
-0.662 0.000 5.122
ATOMIC_POSITIONS crystal
Ni 0.215 0.785 0.000
Ni 0.785 0.215 0.000
Sb 0.233 0.233 0.508
Sb 0.767 0.767 0.492
O 0.022 0.543 0.749
O 0.038 0.038 0.742
O 0.457 0.978 0.251
O 0.500 0.500 0.500
O 0.543 0.022 0.749
O 0.962 0.962 0.258
O 0.978 0.457 0.251
! Symmetry: C2/m
! Crystal system: monoclinic

Short version: i is the least stable of them.

--- i ---
! NiSbTe2O, optimized geometry, DFT PBE with a Hubbard U; values from VASP
&SYSTEM
  ibrav = 0, nat = 5, ntyp = 4
/
ATOMIC_SPECIES
Ni 58.69 Ni.upf
Sb 121.76 Sb.upf
Te 127.60 Te.upf
O 16.00 O.upf
CELL_PARAMETERS angstrom
4.963 0.000 0.000
0.000 4.963 0.000
0.000 0.000 4.889
ATOMIC_POSITIONS crystal
Ni 0.000 0.000 0.000
Sb 0.000 0.000 0.500
Te 0.000 0.500 0.000
Te 0.500 0.000 0.000
O 0.500 0.500 0.500
! Symmetry: P4/mmm
! Crystal system: tetragonal

--- ii ---
! NiSbTe2O, optimized geometry, DFT PBE with a Hubbard U; values from VASP
&SYSTEM
  ibrav = 0, nat = 5, ntyp = 4
/
ATOMIC_SPECIES
Ni 58.69 Ni.upf
Sb 121.76 Sb.upf
Te 127.60 Te.upf
O 16.00 O.upf
CELL_PARAMETERS angstrom
4.787 0.000 0.000
0.000 4.787 0.000
0.000 0.000 4.673
ATOMIC_POSITIONS crystal
Ni 0.000 0.000 0.000
Sb 0.500 0.500 0.000
Te 0.000 0.500 0.500
Te 0.500 0.000 0.500
O 0.500 0.500 0.500
! Symmetry: P4/mmm
! Crystal system: tetragonal

Short version: i is the least stable of them.

--- i ---
! ScNi3O, optimized geometry, DFT PBE with a Hubbard U; values from VASP
&SYSTEM
  ibrav = 0, nat = 5, ntyp = 3
/
ATOMIC_SPECIES
Sc 44.96 Sc.upf
Ni 58.69 Ni.upf
O 16.00 O.upf
CELL_PARAMETERS angstrom
4.033 0.000 0.000
0.000 4.033 0.000
0.000 0.000 4.033
ATOMIC_POSITIONS crystal
Sc 0.000 0.000 0.000
Ni 0.000 0.500 0.500
Ni 0.500 0.000 0.500
Ni 0.500 0.500 0.000
O 0.500 0.500 0.500
! Symmetry: Pm-3m
! Crystal system: cubic

--- ii ---
! ScNi3O, optimized geometry, DFT PBE with a Hubbard U; values from VASP
&SYSTEM
  ibrav = 0, nat = 5, ntyp = 3
/
ATOMIC_SPECIES
Sc 44.96 Sc.upf
Ni 58.69 Ni.upf
O 16.00 O.upf
CELL_PARAMETERS angstrom
4.312 0.000 0.000
0.000 4.312 0.000
0.000 0.000 4.312
ATOMIC_POSITIONS crystal
Sc 0.000 0.000 0.000
Ni 0.000 0.000 0.500
Ni 0.000 0.500 0.000
Ni 0.500 0.000 0.000
O 0.500 0.500 0.500
! Symmetry: Pm-3m
! Crystal system: cubic

Short version: ii is the least stable of them.

--- i ---
! Ni2SeO, optimized geometry, DFT PBE with a Hubbard U; values from VASP
&SYSTEM
  ibrav = 0, nat = 8, ntyp = 3
/
ATOMIC_SPECIES
Ni 58.69 Ni.upf
Se 78.96 Se.upf
O 16.00 O.upf
CELL_PARAMETERS angstrom
-2.504 2.504 5.229
2.504 -2.504 5.229
2.504 2.504 -5.229
ATOMIC_POSITIONS crystal
Ni 0.042 0.625 0.917
Ni 0.375 0.292 0.417
Ni 0.708 0.125 0.083
Ni 0.875 0.958 0.583
Se 0.250 0.750 0.500
Se 0.500 0.500 0.000
O 0.000 0.000 0.000
O 0.750 0.250 0.500
! Symmetry: I-42d
! Crystal system: tetragonal

--- ii ---
! Ni2SeO, optimized geometry, DFT PBE with a Hubbard U; values from VASP
&SYSTEM
  ibrav = 0, nat = 4, ntyp = 3
/
ATOMIC_SPECIES
Ni 58.69 Ni.upf
Se 78.96 Se.upf
O 16.00 O.upf
CELL_PARAMETERS angstrom
0.000 2.812 2.812
2.812 0.000 2.812
2.812 2.812 0.000
ATOMIC_POSITIONS crystal
Ni 0.250 0.250 0.250
Ni 0.750 0.750 0.750
Se 0.000 0.000 0.000
O 0.500 0.500 0.500
! Symmetry: Fm-3m
! Crystal system: cubic

Short version: ii is the least stable of them.

--- i ---
! SiNi2O, optimized geometry, DFT PBE with a Hubbard U; values from VASP
&SYSTEM
  ibrav = 0, nat = 4, ntyp = 3
/
ATOMIC_SPECIES
Si 28.09 Si.upf
Ni 58.69 Ni.upf
O 16.00 O.upf
CELL_PARAMETERS angstrom
0.000 2.707 2.707
2.707 0.000 2.707
2.707 2.707 0.000
ATOMIC_POSITIONS crystal
Si 0.000 0.000 0.000
Ni 0.250 0.250 0.250
Ni 0.750 0.750 0.750
O 0.500 0.500 0.500
! Symmetry: Fm-3m
! Crystal system: cubic

--- ii ---
! SiNi2O, optimized geometry, DFT PBE with a Hubbard U; values from VASP
&SYSTEM
  ibrav = 0, nat = 8, ntyp = 3
/
ATOMIC_SPECIES
Si 28.09 Si.upf
Ni 58.69 Ni.upf
O 16.00 O.upf
CELL_PARAMETERS angstrom
-2.621 2.621 4.049
2.621 -2.621 4.049
2.621 2.621 -4.049
ATOMIC_POSITIONS crystal
Si 0.000 0.000 0.000
Si 0.750 0.250 0.500
Ni 0.183 0.625 0.058
Ni 0.375 0.433 0.558
Ni 0.567 0.125 0.942
Ni 0.875 0.817 0.442
O 0.250 0.750 0.500
O 0.500 0.500 0.000
! Symmetry: I-42d
! Crystal system: tetragonal

Short version: i is the least stable of them.

--- i ---
! Si2Ni2O, optimized geometry, DFT PBE with a Hubbard U; values from VASP
&SYSTEM
  ibrav = 0, nat = 5, ntyp = 3
/
ATOMIC_SPECIES
Si 28.09 Si.upf
Ni 58.69 Ni.upf
O 16.00 O.upf
CELL_PARAMETERS angstrom
-1.654 1.654 5.477
1.654 -1.654 5.477
1.654 1.654 -5.477
ATOMIC_POSITIONS crystal
Si 0.102 0.102 0.000
Si 0.898 0.898 0.000
Ni 0.250 0.750 0.500
Ni 0.750 0.250 0.500
O 0.500 0.500 0.000
! Symmetry: I4/mmm
! Crystal system: tetragonal

--- ii ---
! Si2Ni2O, optimized geometry, DFT PBE with a Hubbard U; values from VASP
&SYSTEM
  ibrav = 0, nat = 10, ntyp = 3
/
ATOMIC_SPECIES
Si 28.09 Si.upf
Ni 58.69 Ni.upf
O 16.00 O.upf
CELL_PARAMETERS angstrom
5.486 0.000 0.000
0.000 5.486 0.000
0.000 0.000 3.640
ATOMIC_POSITIONS crystal
Si 0.164 0.336 0.000
Si 0.336 0.836 0.000
Si 0.664 0.164 0.000
Si 0.836 0.664 0.000
Ni 0.149 0.649 0.500
Ni 0.351 0.149 0.500
Ni 0.649 0.851 0.500
Ni 0.851 0.351 0.500
O 0.000 0.000 0.000
O 0.500 0.500 0.000
! Symmetry: P4/mbm
! Crystal system: tetragonal

Short version: i is the least stable of them.

--- i ---
! SiNi3O, optimized geometry, DFT PBE with a Hubbard U; values from VASP
&SYSTEM
  ibrav = 0, nat = 5, ntyp = 3
/
ATOMIC_SPECIES
Si 28.09 Si.upf
Ni 58.69 Ni.upf
O 16.00 O.upf
CELL_PARAMETERS angstrom
3.927 0.000 0.000
0.000 3.927 0.000
0.000 0.000 3.927
ATOMIC_POSITIONS crystal
Si 0.000 0.000 0.000
Ni 0.000 0.500 0.500
Ni 0.500 0.000 0.500
Ni 0.500 0.500 0.000
O 0.500 0.500 0.500
! Symmetry: Pm-3m
! Crystal system: cubic

--- ii ---
! SiNi3O, optimized geometry, DFT PBE with a Hubbard U; values from VASP
&SYSTEM
  ibrav = 0, nat = 5, ntyp = 3
/
ATOMIC_SPECIES
Si 28.09 Si.upf
Ni 58.69 Ni.upf
O 16.00 O.upf
CELL_PARAMETERS angstrom
4.121 0.000 0.000
0.000 4.121 0.000
0.000 0.000 4.121
ATOMIC_POSITIONS crystal
Si 0.000 0.000 0.000
Ni 0.000 0.000 0.500
Ni 0.000 0.500 0.000
Ni 0.500 0.000 0.000
O 0.500 0.500 0.500
! Symmetry: Pm-3m
! Crystal system: cubic

Short version: ii is the least stable of them.

--- i ---
! Ni3SnO, optimized geometry, DFT PBE with a Hubbard U; values from VASP
&SYSTEM
  ibrav = 0, nat = 5, ntyp = 3
/
ATOMIC_SPECIES
Ni 58.69 Ni.upf
Sn 118.71 Sn.upf
O 16.00 O.upf
CELL_PARAMETERS angstrom
4.852 0.000 0.000
0.000 4.852 0.000
0.000 0.000 4.852
ATOMIC_POSITIONS crystal
Ni 0.000 0.000 0.500
Ni 0.000 0.500 0.000
Ni 0.500 0.000 0.000
Sn 0.000 0.000 0.000
O 0.500 0.500 0.500
! Symmetry: Pm-3m
! Crystal system: cubic

--- ii ---
! Ni3SnO, optimized geometry, DFT PBE with a Hubbard U; values from VASP
&SYSTEM
  ibrav = 0, nat = 5, ntyp = 3
/
ATOMIC_SPECIES
Ni 58.69 Ni.upf
Sn 118.71 Sn.upf
O 16.00 O.upf
CELL_PARAMETERS angstrom
4.067 0.000 0.000
0.000 4.067 0.000
0.000 0.000 4.067
ATOMIC_POSITIONS crystal
Ni 0.000 0.000 0.500
Ni 0.000 0.500 0.000
Ni 0.500 0.000 0.000
Sn 0.500 0.500 0.500
O 0.000 0.000 0.000
! Symmetry: Pm-3m
! Crystal system: cubic

Short version: i is the least stable of them.

--- i ---
! TaNi3O, optimized geometry, DFT PBE with a Hubbard U; values from VASP
&SYSTEM
  ibrav = 0, nat = 5, ntyp = 3
/
ATOMIC_SPECIES
Ta 180.95 Ta.upf
Ni 58.69 Ni.upf
O 16.00 O.upf
CELL_PARAMETERS angstrom
4.456 0.000 0.000
0.000 4.456 0.000
0.000 0.000 4.456
ATOMIC_POSITIONS crystal
Ta 0.000 0.000 0.000
Ni 0.000 0.000 0.500
Ni 0.000 0.500 0.000
Ni 0.500 0.000 0.000
O 0.500 0.500 0.500
! Symmetry: Pm-3m
! Crystal system: cubic

--- ii ---
! TaNi3O, optimized geometry, DFT PBE with a Hubbard U; values from VASP
&SYSTEM
  ibrav = 0, nat = 5, ntyp = 3
/
ATOMIC_SPECIES
Ta 180.95 Ta.upf
Ni 58.69 Ni.upf
O 16.00 O.upf
CELL_PARAMETERS angstrom
3.959 0.000 0.000
0.000 3.959 0.000
0.000 0.000 3.959
ATOMIC_POSITIONS crystal
Ta 0.000 0.000 0.000
Ni 0.000 0.500 0.500
Ni 0.500 0.000 0.500
Ni 0.500 0.500 0.000
O 0.500 0.500 0.500
! Symmetry: Pm-3m
! Crystal system: cubic

Short version: i is the least stable of them.

--- i ---
! TcNi3O, optimized geometry, DFT PBE with a Hubbard U; values from VASP
&SYSTEM
  ibrav = 0, nat = 5, ntyp = 3
/
ATOMIC_SPECIES
Tc 98.00 Tc.upf
Ni 58.69 Ni.upf
O 16.00 O.upf
CELL_PARAMETERS angstrom
4.379 0.000 0.000
0.000 4.379 0.000
0.000 0.000 4.379
ATOMIC_POSITIONS crystal
Tc 0.000 0.000 0.000
Ni 0.000 0.000 0.500
Ni 0.000 0.500 0.000
Ni 0.500 0.000 0.000
O 0.500 0.500 0.500
! Symmetry: Pm-3m
! Crystal system: cubic

--- ii ---
! TcNi3O, optimized geometry, DFT PBE with a Hubbard U; values from VASP
&SYSTEM
  ibrav = 0, nat = 5, ntyp = 3
/
ATOMIC_SPECIES
Tc 98.00 Tc.upf
Ni 58.69 Ni.upf
O 16.00 O.upf
CELL_PARAMETERS angstrom
3.950 0.000 0.000
0.000 3.950 0.000
0.000 0.000 3.950
ATOMIC_POSITIONS crystal
Tc 0.000 0.000 0.000
Ni 0.000 0.500 0.500
Ni 0.500 0.000 0.500
Ni 0.500 0.500 0.000
O 0.500 0.500 0.500
! Symmetry: Pm-3m
! Crystal system: cubic

Short version: i is the least stable of them.

--- i ---
! Tc3NiO, optimized geometry, DFT PBE with a Hubbard U; values from VASP
&SYSTEM
  ibrav = 0, nat = 5, ntyp = 3
/
ATOMIC_SPECIES
Tc 98.00 Tc.upf
Ni 58.69 Ni.upf
O 16.00 O.upf
CELL_PARAMETERS angstrom
3.998 0.000 0.000
0.000 3.998 0.000
0.000 0.000 3.998
ATOMIC_POSITIONS crystal
Tc 0.000 0.000 0.500
Tc 0.000 0.500 0.000
Tc 0.500 0.000 0.000
Ni 0.500 0.500 0.500
O 0.000 0.000 0.000
! Symmetry: Pm-3m
! Crystal system: cubic

--- ii ---
! Tc3NiO, optimized geometry, DFT PBE with a Hubbard U; values from VASP
&SYSTEM
  ibrav = 0, nat = 5, ntyp = 3
/
ATOMIC_SPECIES
Tc 98.00 Tc.upf
Ni 58.69 Ni.upf
O 16.00 O.upf
CELL_PARAMETERS angstrom
4.419 0.000 0.000
0.000 4.419 0.000
0.000 0.000 4.419
ATOMIC_POSITIONS crystal
Tc 0.000 0.000 0.500
Tc 0.000 0.500 0.000
Tc 0.500 0.000 0.000
Ni 0.000 0.000 0.000
O 0.500 0.500 0.500
! Symmetry: Pm-3m
! Crystal system: cubic

Short version: ii is the least stable of them.

--- i ---
! Ni3TeO6, optimized geometry, DFT PBE with a Hubbard U; values from VASP
&SYSTEM
  ibrav = 0, nat = 20, ntyp = 3
/
ATOMIC_SPECIES
Ni 58.69 Ni.upf
Te 127.60 Te.upf
O 16.00 O.upf
CELL_PARAMETERS angstrom
4.316 2.492 3.475
-4.316 2.492 3.475
0.000 -4.983 3.475
ATOMIC_POSITIONS crystal
Ni 0.054 0.747 0.571
Ni 0.253 0.429 0.946
Ni 0.429 0.946 0.253
Ni 0.571 0.054 0.747
Ni 0.747 0.571 0.054
Ni 0.946 0.253 0.429
Te 0.000 0.000 0.000
Te 0.500 0.500 0.500
O 0.046 0.695 0.909
O 0.091 0.954 0.305
O 0.196 0.430 0.572
O 0.305 0.091 0.954
O 0.428 0.804 0.570
O 0.430 0.572 0.196
O 0.570 0.428 0.804
O 0.572 0.196 0.430
O 0.695 0.909 0.046
O 0.804 0.570 0.428
O 0.909 0.046 0.695
O 0.954 0.305 0.091
! Symmetry: R-3
! Crystal system: trigonal

--- ii ---
! Ni3TeO6, optimized geometry, DFT PBE with a Hubbard U; values from VASP
&SYSTEM
  ibrav = 0, nat = 10, ntyp = 3
/
ATOMIC_SPECIES
Ni 58.69 Ni.upf
Te 127.60 Te.upf
O 16.00 O.upf
CELL_PARAMETERS angstrom
2.584 1.492 4.641
-2.584 1.492 4.641
0.000 -2.983 4.641
ATOMIC_POSITIONS crystal
Ni 0.000 0.000 0.000
Ni 0.204 0.204 0.204
Ni 0.710 0.710 0.710
Te 0.509 0.509 0.509
O 0.130 0.780 0.408
O 0.305 0.604 0.893
O 0.408 0.130 0.780
O 0.604 0.893 0.305
O 0.780 0.408 0.130
O 0.893 0.305 0.604
! Symmetry: R3
! Crystal system: trigonal

Short version: i is the least stable of them.